(1)
# Te3MoS, optimized geometry, DFT GGA-PBE
# energy relative to the lowest polymorph listed for this composition = 398 meV per atom
# formation energy from raw total energies = 1.022 eV/atom
data_Te3MoS
_chemical_formula_sum 'Te3 Mo1 S1'
_space_group_name_H-M_alt 'P 1'
_space_group_IT_number 1
_cell_length_a 5.205
_cell_length_b 5.205
_cell_length_c 5.205
_cell_angle_alpha 90.00
_cell_angle_beta 90.00
_cell_angle_gamma 90.00
loop_
_space_group_symop_operation_xyz
'x,y,z'
loop_
_atom_site_label
_atom_site_fract_x
_atom_site_fract_y
_atom_site_fract_z
_atom_site_occupancy
Te1 0.000 0.000 0.500 1
Te2 0.000 0.500 0.000 1
Te3 0.500 0.000 0.000 1
Mo1 0.500 0.500 0.500 1
S1 0.000 0.000 0.000 1



(2)
# TlTe2MoS, optimized geometry, DFT GGA-PBE
# formation energy from raw total energies = 0.555 eV/atom
data_TlTe2MoS
_chemical_formula_sum 'Tl1 Te2 Mo1 S1'
_space_group_name_H-M_alt 'P 1'
_space_group_IT_number 1
_cell_length_a 5.688
_cell_length_b 5.688
_cell_length_c 4.472
_cell_angle_alpha 90.00
_cell_angle_beta 90.00
_cell_angle_gamma 90.00
loop_
_space_group_symop_operation_xyz
'x,y,z'
loop_
_atom_site_label
_atom_site_fract_x
_atom_site_fract_y
_atom_site_fract_z
_atom_site_occupancy
Tl1 0.000 0.000 0.000 1
Te1 0.000 0.500 0.500 1
Te2 0.500 0.000 0.500 1
Mo1 0.500 0.500 0.000 1
S1 0.500 0.500 0.500 1



(3)
# Te2MoWS2, optimized geometry, DFT GGA-PBE
# energy relative to the lowest polymorph listed for this composition = 1 meV per atom
# formation energy from raw total energies = -0.470 eV/atom
data_Te2MoWS2
_chemical_formula_sum 'Te4 Mo2 W2 S4'
_space_group_name_H-M_alt 'P 1'
_space_group_IT_number 1
_cell_length_a 3.354
_cell_length_b 3.354
_cell_length_c 38.284
_cell_angle_alpha 90.00
_cell_angle_beta 90.00
_cell_angle_gamma 120.00
loop_
_space_group_symop_operation_xyz
'x,y,z'
loop_
_atom_site_label
_atom_site_fract_x
_atom_site_fract_y
_atom_site_fract_z
_atom_site_occupancy
Te1 0.333 0.667 0.349 1
Te2 0.333 0.667 0.448 1
Te3 0.667 0.333 0.552 1
Te4 0.667 0.333 0.651 1
Mo1 0.333 0.667 0.601 1
Mo2 0.667 0.333 0.399 1
W1 0.333 0.667 0.207 1
W2 0.667 0.333 0.793 1
S1 0.333 0.667 0.753 1
S2 0.333 0.667 0.833 1
S3 0.667 0.333 0.167 1
S4 0.667 0.333 0.247 1



(4)
# Te4Mo2WS2, optimized geometry, DFT GGA-PBE
# energy relative to the lowest polymorph listed for this composition = 0 meV per atom
# formation energy from raw total energies = -0.388 eV/atom
data_Te4Mo2WS2
_chemical_formula_sum 'Te4 Mo2 W1 S2'
_space_group_name_H-M_alt 'P 1'
_space_group_IT_number 1
_cell_length_a 3.415
_cell_length_b 3.415
_cell_length_c 23.035
_cell_angle_alpha 90.00
_cell_angle_beta 90.00
_cell_angle_gamma 120.00
loop_
_space_group_symop_operation_xyz
'x,y,z'
loop_
_atom_site_label
_atom_site_fract_x
_atom_site_fract_y
_atom_site_fract_z
_atom_site_occupancy
Te1 0.000 0.000 0.000 1
Te2 0.000 0.000 0.162 1
Te3 0.333 0.667 0.666 1
Te4 0.333 0.667 0.829 1
Mo1 0.000 0.000 0.747 1
Mo2 0.333 0.667 0.081 1
W1 0.000 0.000 0.399 1
S1 0.333 0.667 0.334 1
S2 0.333 0.667 0.464 1



(5)
# Te2MoWS2, optimized geometry, DFT GGA-PBE
# energy relative to the lowest polymorph listed for this composition = 73 meV per atom
# formation energy from raw total energies = -0.399 eV/atom
data_Te2MoWS2
_chemical_formula_sum 'Te4 Mo2 W2 S4'
_space_group_name_H-M_alt 'P 1'
_space_group_IT_number 1
_cell_length_a 3.363
_cell_length_b 3.363
_cell_length_c 35.679
_cell_angle_alpha 90.00
_cell_angle_beta 90.00
_cell_angle_gamma 120.00
loop_
_space_group_symop_operation_xyz
'x,y,z'
loop_
_atom_site_label
_atom_site_fract_x
_atom_site_fract_y
_atom_site_fract_z
_atom_site_occupancy
Te1 0.333 0.667 0.337 1
Te2 0.333 0.667 0.444 1
Te3 0.667 0.333 0.556 1
Te4 0.667 0.333 0.663 1
Mo1 0.333 0.667 0.186 1
Mo2 0.667 0.333 0.814 1
W1 0.333 0.667 0.609 1
W2 0.667 0.333 0.391 1
S1 0.333 0.667 0.772 1
S2 0.333 0.667 0.857 1
S3 0.667 0.333 0.143 1
S4 0.667 0.333 0.228 1



(6)
# Te2MoWS2, optimized geometry, DFT GGA-PBE
# energy relative to the lowest polymorph listed for this composition = 0 meV per atom
# formation energy from raw total energies = -0.472 eV/atom
data_Te2MoWS2
_chemical_formula_sum 'Te2 Mo1 W1 S2'
_space_group_name_H-M_alt 'P 1'
_space_group_IT_number 1
_cell_length_a 3.354
_cell_length_b 3.354
_cell_length_c 14.774
_cell_angle_alpha 90.00
_cell_angle_beta 90.00
_cell_angle_gamma 120.00
loop_
_space_group_symop_operation_xyz
'x,y,z'
loop_
_atom_site_label
_atom_site_fract_x
_atom_site_fract_y
_atom_site_fract_z
_atom_site_occupancy
Te1 0.000 0.000 0.000 1
Te2 0.000 0.000 0.256 1
Mo1 0.333 0.667 0.128 1
W1 0.000 0.000 0.628 1
S1 0.333 0.667 0.525 1
S2 0.333 0.667 0.730 1